A crystal of LiPd2RuPb relaxed with PBEsol, computed with meta-GGA SCAN.

```
5
Lattice="4.196 0.000 0.000 0.000 4.196 0.000 0.000 0.000 4.364" Properties=species:S:1:pos:R:3 pbc="T T T"
Li 0.000 0.000 0.000
Pd 0.000 2.098 0.000
Pd 2.098 0.000 0.000
Ru 0.000 0.000 2.182
Pb 2.098 2.098 2.182
```

Summary:
DFT formation energy: 457.6 meV/atom
V: 15.4 Å³/atom